# PuZn2CoO8 PBE+U relaxed
data_PuZn2CoO8
_symmetry_space_group_name_H-M 'I -4 m 2'
_symmetry_Int_Tables_number 119
_symmetry_space_group_name_Hall 'I -4 -2'
_cell_length_a 6.316
_cell_length_b 6.316
_cell_length_c 7.238
_cell_angle_alpha 90.00
_cell_angle_beta 90.00
_cell_angle_gamma 90.00
loop_
_atom_site_label
_atom_site_type_symbol
_atom_site_fract_x
_atom_site_fract_y
_atom_site_fract_z
Pu1 Pu 0.000 0.000 0.000
Zn1 Zn 0.000 0.000 0.500
Zn2 Zn 0.000 0.500 0.750
Co1 Co 0.000 0.500 0.250
O1 O 0.000 0.206 0.289
O2 O 0.000 0.299 0.949
# calculated total energy	-6.28	eV/atom
# volume	144.37	Å³/f.u.